[1]
Material: Fe4NiSe
Method: DFT, PBE
State: optimized geometry

extended XYZ file:
```
6
Lattice="-2.889 -2.084 3.204 -3.823 -2.482 -1.478 -0.066 -4.773 0.418" Properties=species:S:1:pos:R:3 pbc="T T T"
Fe -3.983 -4.545 2.399
Fe -2.579 -5.882 1.013
Fe -4.448 -4.743 0.070
Fe -2.546 -3.508 0.805
Ni -5.083 -7.004 1.608
Se 0.000 0.000 0.000
```

* density: 7.707 g cm⁻³
* ΔE_f (raw): 2.30 eV/f.u.



[2]
Material: TeIrRu3
Method: DFT, PBE
State: optimized geometry

extended XYZ file:
```
5
Lattice="-4.359 -1.721 0.597 0.508 -2.636 -3.888 1.749 -3.523 2.617" Properties=species:S:1:pos:R:3 pbc="T T T"
Ru 0.254 -1.318 -1.944
Ru 0.874 -1.761 1.308
Ru -2.179 -0.860 0.299
Ir 0.000 0.000 0.000
Te -1.051 -3.939 -0.337
```

* density: 9.813 g cm⁻³
* ΔE_f (raw): 7.80 eV/f.u.
* distance to the lowest polymorph of the same formula: 0 meV/atom



[3]
Material: Sm3Ho4Er
Method: DFT, PBE
State: optimized geometry

extended XYZ file:
```
16
Lattice="-5.009 3.672 -0.963 -2.205 -4.412 -5.353 -5.917 -6.112 7.476" Properties=species:S:1:pos:R:3 pbc="T T T"
Sm -3.792 -0.998 -3.818
Sm -3.600 -3.750 -1.624
Sm -5.547 -0.799 -0.757
Sm -8.697 -1.101 0.795
Sm -8.507 -3.857 2.984
Sm -6.557 -6.804 2.112
Ho -6.842 -0.269 -5.636
Ho -2.680 1.228 -1.118
Ho -2.481 -1.518 1.056
Ho -6.668 -3.030 -3.436
Ho -9.809 -3.327 -1.905
Ho -5.636 -1.838 2.615
Ho -9.606 -6.065 0.277
Ho -5.459 -4.595 4.819
Er -5.740 1.965 -2.936
Er -6.759 -4.057 -0.088
```

* density: 8.192 g cm⁻³
* energy of formation: 0.015 eV per atom
* distance to the lowest polymorph of the same formula: 0 meV/atom



[4]
Material: AcTh2Sn2Au2
Method: DFT, PBE
State: optimized geometry

extended XYZ file:
```
7
Lattice="4.944 0.000 0.000 2.472 4.282 0.000 2.472 1.427 9.526" Properties=species:S:1:pos:R:3 pbc="T T T"
Ac 0.000 0.000 0.000
Th 2.472 1.427 5.707
Th 7.417 4.282 3.818
Sn 7.417 4.282 7.551
Sn 2.472 1.427 1.975
Au 4.944 2.855 2.896
Au 4.944 2.855 6.629
```

* density: 10.888 g cm⁻³
* energy of formation: -0.446 eV per atom



[5]
Material: La2Ho3ScTe6
Method: DFT, PBE
State: optimized geometry

extended XYZ file:
```
12
Lattice="4.369 0.000 0.000 0.000 8.843 0.310 -2.184 -2.555 9.236" Properties=species:S:1:pos:R:3 pbc="T T T"
La 2.184 4.191 6.362
La 0.000 2.098 3.184
Ho 2.184 4.422 0.155
Ho 2.184 -0.223 6.054
Ho 0.000 6.512 3.492
Sc 2.184 0.000 0.000
Te 0.000 6.510 6.579
Te 2.184 4.426 3.175
Te 2.184 -0.222 2.967
Te 2.184 -0.406 9.177
Te 0.000 6.694 0.369
Te 0.000 1.863 6.371
```

* density: 7.297 g cm⁻³
* ΔE_f (raw): -15.92 eV/f.u.



[6]
Material: Ac7PrPb4
Method: DFT, PBE
State: optimized geometry

extended XYZ file:
```
12
Lattice="-0.723 3.052 -5.465 -6.712 -5.006 -5.540 -8.000 4.170 -0.245" Properties=species:S:1:pos:R:3 pbc="T T T"
Ac -10.525 0.206 -9.390
Ac -4.909 2.010 -1.860
Ac -6.203 -1.681 -3.751
Ac -9.231 3.897 -7.500
Ac -11.290 0.654 -5.406
Ac -0.361 1.526 -2.732
Ac -4.145 1.561 -5.844
Pr 0.000 0.000 0.000
Pb -6.960 2.953 -4.695
Pb -8.475 -0.738 -6.556
Pb -12.641 2.808 -7.657
Pb -2.794 -0.592 -3.594
```

* density: 8.770 g cm⁻³
* energy of formation: -0.132 eV per atom



[7]
Material: La2Rh2Au
Method: DFT, PBE
State: optimized geometry

extended XYZ file:
```
5
Lattice="-3.754 1.103 -0.344 -1.167 -3.801 0.543 0.248 3.057 7.098" Properties=species:S:1:pos:R:3 pbc="T T T"
La -2.551 -1.035 2.099
La -2.122 1.394 5.198
Rh -0.124 0.427 2.722
Rh -0.795 -1.171 4.919
Au 0.000 0.000 0.000
```

* density: 9.602 g cm⁻³
* energy of formation: -0.766 eV per atom
* distance to the lowest polymorph of the same formula: 0 meV/atom



[8]
Material: K3Ce6Cl20
Method: DFT, PBE
State: optimized geometry

extended XYZ file:
```
29
Lattice="-8.769 3.375 4.516 -5.951 -6.620 5.425 -0.547 0.790 10.380" Properties=species:S:1:pos:R:3 pbc="T T T"
K -11.450 -1.841 15.241
K -3.817 -0.614 5.080
K 0.000 0.000 0.000
Ce -7.103 -3.379 12.800
Ce -8.164 0.925 7.521
Ce -4.320 -0.284 10.263
Ce -8.420 1.294 12.375
Ce -6.847 -3.749 7.947
Ce -10.947 -2.171 10.058
Cl -6.108 -0.572 12.634
Cl -5.322 -3.089 10.424
Cl -5.873 2.261 3.025
Cl -7.838 0.075 4.816
Cl -0.366 0.529 6.953
Cl -8.630 -4.031 10.322
Cl -2.331 -1.657 8.744
Cl -6.054 2.522 6.452
Cl -3.986 -4.434 3.634
Cl -0.181 0.261 3.428
Cl -3.262 1.644 8.444
Cl -1.965 -2.186 1.791
Cl -6.882 -3.320 5.125
Cl -2.895 1.115 1.491
Cl -5.852 -0.941 7.790
Cl -9.160 -1.883 7.687
Cl -9.415 -1.514 12.532
Cl -6.637 1.576 10.000
Cl -9.945 0.634 9.897
Cl -4.167 -4.173 7.061
```

* density: 3.455 g cm⁻³
* ΔE_f (raw): -61.84 eV/f.u.



[9]
Material: DyTlH8Rh2
Method: DFT, PBE
State: optimized geometry

extended XYZ file:
```
12
Lattice="-0.418 -0.398 -4.038 -3.286 -1.866 -1.536 -5.435 6.906 -2.178" Properties=species:S:1:pos:R:3 pbc="T T T"
Dy 0.000 0.000 0.000
Tl -4.570 2.321 -3.876
H -3.056 2.567 -1.997
H -2.488 -0.166 -2.948
H -6.084 2.075 -5.755
H -2.670 -0.339 -4.709
H -6.470 4.981 -3.043
H -3.921 -0.979 -3.618
H -5.219 5.622 -4.134
H -6.652 4.808 -4.804
Rh -2.230 1.061 -1.934
Rh -6.910 3.582 -5.818
```

* density: 7.654 g cm⁻³



[10]
Material: Na2Pa2PbO7
Method: DFT, PBE
State: optimized geometry

extended XYZ file:
```
12
Lattice="-1.105 3.866 1.860 -4.258 -0.983 -0.486 2.656 -5.926 8.618" Properties=species:S:1:pos:R:3 pbc="T T T"
Na -2.143 -2.774 4.493
Na -0.566 -0.269 5.499
Pa -0.020 -3.510 7.283
Pa -2.687 0.467 2.709
Pb -0.510 -0.118 -0.058
O -2.138 -4.028 7.102
O -2.697 -0.426 4.560
O -2.011 -1.298 1.504
O -0.547 0.990 2.893
O -0.020 -2.619 5.431
O -0.451 -1.688 8.517
O -2.423 1.501 0.717
```

* density: 6.828 g cm⁻³
* ΔE_f (raw): -32.65 eV/f.u.



[11]
Material: KMn2Re
Method: DFT, PBE
State: optimized geometry

extended XYZ file:
```
4
Lattice="-4.486 -1.217 4.035 -2.562 -5.586 -0.350 4.633 3.882 1.165" Properties=species:S:1:pos:R:3 pbc="T T T"
K -0.727 -2.553 1.329
Mn -6.687 -6.454 3.496
Mn -3.885 -3.750 2.031
Re -1.689 -0.368 3.521
```

* density: 6.493 g cm⁻³
* energy of formation: 1.273 eV per atom
* distance to the lowest polymorph of the same formula: 603 meV/atom



[12]
Material: LiLaTe2
Method: DFT, PBE
State: optimized geometry

extended XYZ file:
```
8
Lattice="-1.126 7.265 2.105 -3.218 1.466 -6.781 -5.598 3.423 -0.916" Properties=species:S:1:pos:R:3 pbc="T T T"
Te -1.910 6.341 -0.398
Te -2.433 2.390 -4.278
Te -0.960 2.532 -0.634
Te -3.384 6.199 -4.042
Li -4.448 7.527 -0.574
Li -5.494 4.627 -5.017
La -6.057 8.260 -3.964
La -3.885 3.894 -1.627
```

* density: 5.950 g cm⁻³
* ΔE_f (raw): -5.14 eV/f.u.



For reference, magnetization by record: 10.04 0.00 0.00 0.00 0.00 0.00 0.00 7.00 0.00 0.00 6.73 0.00 Bohr magnetons per cell.
For reference, D(E_F) by record: 7.1 7.7 27.2 6.3 7.6 11.0 3.5 50.9 2.9 0.0 5.5 0.0 states/eV/cell.
For reference, electronic total energy by record: -6.802 -6.407 -4.614 -5.233 -5.391 -4.163 -6.333 -4.747 -4.027 -7.725 -6.698 -4.567 eV/atom.